Computed, not measured: a relaxed structure of PPdIN2 at the PBE level of DFT.

Results
Final energy = -4.746 eV per atom
Raw formation energy = 1.015 eV per atom

Lattice parameters (Å, degrees): 3.5759 3.5759 7.4714 90.00 90.00 90.00
Closest atoms and distances in Å follow each position.
Fractional coordinates of all 5 atoms:
P (0.0000, 0.0000, 0.0000)  4 N 1.79
Pd (0.5000, 0.5000, 0.5000)  4 I 2.53
I (0.0000, 0.0000, 0.5000)  4 Pd 2.53
N (0.0000, 0.5000, 0.0000)  2 P 1.79
N (0.5000, 0.0000, 0.0000)  2 P 1.79



Computed, not measured: a relaxed structure of PPdIN2 at the PBE level of DFT.

Results
Final energy = -4.122 eV per atom
Raw formation energy = 1.639 eV per atom

Lattice parameters (Å, degrees): 3.8874 3.8874 8.1538 90.00 90.00 90.00
Closest atoms and distances in Å follow each position.
Fractional coordinates of all 5 atoms:
P (0.0000, 0.0000, 0.0000)  4 I 2.75
Pd (0.5000, 0.5000, 0.5000)  4 N 1.94
I (0.5000, 0.5000, 0.0000)  4 P 2.75
N (0.0000, 0.5000, 0.5000)  2 Pd 1.94
N (0.5000, 0.0000, 0.5000)  2 Pd 1.94